This record from the Alexandria database describes a relaxed structure of SrBe2GaO. The functional is PBE.

As for the uncorrected energy: -3.226 eV per atom. The crystal system is tetragonal. Its formation energy without anion corrections is 0.198 eV per atom.

POSCAR file:
```
SrBe2GaO
1.0
4.0642 0.0000 0.0000
0.0000 4.0642 0.0000
0.0000 0.0000 5.2730
Sr Be Ga O
1 2 1 1
direct
0.0000 0.0000 0.0000
0.0000 0.5000 0.5000
0.5000 0.0000 0.5000
0.5000 0.5000 0.0000
0.5000 0.5000 0.5000
```

=====

This record from the Alexandria database describes a relaxed structure of Sr2Be2GaO6. The functional is PBE.

As for the uncorrected energy: -6.289 eV per atom. The crystal system is trigonal. Its formation energy without anion corrections is -2.326 eV per atom.

POSCAR file:
```
Sr2Be2GaO6
1.0
2.6881 1.5519 5.2019
-2.6881 1.5519 5.2019
0.0000 -3.1039 5.2019
Sr Be Ga O
2 2 1 6
direct
0.2197 0.2197 0.2197
0.7803 0.7803 0.7803
0.4147 0.4147 0.4147
0.5853 0.5853 0.5853
0.0000 0.0000 0.0000
0.2482 0.2482 0.7425
0.2482 0.7425 0.2482
0.2575 0.7518 0.7518
0.7425 0.2482 0.2482
0.7518 0.2575 0.7518
0.7518 0.7518 0.2575
```

=====

This record from the Alexandria database describes a relaxed structure of BeGaTeO6. The functional is PBE.

As for the uncorrected energy: -5.699 eV per atom. The crystal system is trigonal. Its formation energy without anion corrections is -1.294 eV per atom.

POSCAR file:
```
BeGaTeO6
1.0
4.8840 0.0000 0.0000
-2.4420 4.2296 0.0000
0.0000 0.0000 8.5895
Be Ga Te O
2 2 2 12
direct
0.3333 0.6667 0.2500
0.6667 0.3333 0.7500
0.0000 0.0000 0.0000
0.0000 0.0000 0.5000
0.3333 0.6667 0.7500
0.6667 0.3333 0.2500
0.0152 0.3533 0.1309
0.0152 0.6619 0.3691
0.3381 0.3533 0.3691
0.3381 0.9848 0.1309
0.3533 0.0152 0.6309
0.3533 0.3381 0.8691
0.6467 0.6619 0.1309
0.6467 0.9848 0.3691
0.6619 0.0152 0.8691
0.6619 0.6467 0.6309
0.9848 0.3381 0.6309
0.9848 0.6467 0.8691
```

=====

This record from the Alexandria database describes a relaxed structure of BeTlGaO2. The functional is PBE.

As for the uncorrected energy: -4.037 eV per atom. The crystal system is tetragonal. Its formation energy without anion corrections is -0.230 eV per atom.

POSCAR file:
```
BeTlGaO2
1.0
3.7210 0.0000 0.0000
0.0000 3.7210 0.0000
0.0000 0.0000 5.1445
Be Tl Ga O
1 1 1 2
direct
0.0000 0.0000 0.0000
0.0000 0.0000 0.5000
0.5000 0.5000 0.5000
0.0000 0.5000 0.0000
0.5000 0.0000 0.0000
```

=====

This record from the Alexandria database describes a relaxed structure of UBeGaO6. The functional is PBE.

As for the uncorrected energy: -7.438 eV per atom. The crystal system is trigonal. Its formation energy without anion corrections is -2.128 eV per atom.

POSCAR file:
```
UBeGaO6
1.0
5.0123 0.0000 0.0000
-2.5061 4.3407 0.0000
0.0000 0.0000 8.7744
U Be Ga O
2 2 2 12
direct
0.3333 0.6667 0.2500
0.6667 0.3333 0.7500
0.3333 0.6667 0.7500
0.6667 0.3333 0.2500
0.0000 0.0000 0.0000
0.0000 0.0000 0.5000
0.0303 0.3495 0.6301
0.0303 0.6808 0.8699
0.3192 0.3495 0.8699
0.3192 0.9697 0.6301
0.3495 0.0303 0.1301
0.3495 0.3192 0.3699
0.6505 0.6808 0.6301
0.6505 0.9697 0.8699
0.6808 0.0303 0.3699
0.6808 0.6505 0.1301
0.9697 0.3192 0.1301
0.9697 0.6505 0.3699
```

=====

Q: Among the records above, which one has the highest uncorrected energy?
A: SrBe2GaO

=====

Q: What is the formula in the second record?
A: Sr2Be2GaO6

=====

Q: Among the records above, which one has the highest formation energy without anion corrections?
A: SrBe2GaO